No. 1
Material: PrCr2H8
Method: DFT, PBE
State: optimized geometry

Structure (CIF):
```
data_PrCr2H8
_cell_length_a 4.6032
_cell_length_b 7.9473
_cell_length_c 4.4432
_cell_angle_alpha 90.00
_cell_angle_beta 90.00
_cell_angle_gamma 90.00
_space_group_name_H-M_alt 'A m m 2'
_space_group_IT_number 38
loop_
_space_group_symop_operation_xyz
'x,y,z'
'-x,-y,z'
'-x,y,z'
'x,-y,z'
'x,y+1/2,z+1/2'
'-x,-y+1/2,z+1/2'
'-x,y+1/2,z+1/2'
'x,-y+1/2,z+1/2'
loop_
_atom_site_label
_atom_site_type_symbol
_atom_site_fract_x
_atom_site_fract_y
_atom_site_fract_z
Pr1 Pr 0.0000 0.0000 0.0000
Cr1 Cr 0.5000 0.1734 0.4838
H1 H 0.2343 0.2320 0.7548
H2 H 0.2607 0.0000 0.5026
H3 H 0.5000 0.1197 0.0955
```



No. 2
# GdTh2Mo, optimized geometry, DFT PBE
# DFT formation energy, eV/f.u.: 0.62
data_GdTh2Mo
_cell_length_a 3.5952
_cell_length_b 3.5952
_cell_length_c 8.4875
_cell_angle_alpha 90.00
_cell_angle_beta 90.00
_cell_angle_gamma 90.00
_space_group_name_H-M_alt 'P 4/m m m'
_space_group_IT_number 123
_space_group_name_Hall '-P 4 2'
loop_
_atom_site_label
_atom_site_type_symbol
_atom_site_fract_x
_atom_site_fract_y
_atom_site_fract_z
Gd1 Gd 0.0000 0.0000 0.0000
Th1 Th 0.5000 0.5000 0.2911
Mo1 Mo 0.0000 0.0000 0.5000



| no. | raw total energy (eV/atom) |
| --- | --- |
| 1 | -4.797 |
| 2 | -9.782 |